No. 1
This record from the Alexandria database describes an optimized crystal structure of Nd3Cd5In2. The functional is PBE-GGA.

Cell: 6.5930 9.1447 9.1448 Å, 96.35 81.34 81.34°
Sites, in units of the cell vectors:
Cd: 0.0669 0.4865 0.2171
Cd: 0.0497 0.8054 0.7157
Cd: 0.9503 0.1946 0.2843
Cd: 0.4503 0.2843 0.1946
Cd: 0.5497 0.7157 0.8054
Cd: 0.5669 0.2171 0.4864
Cd: 0.9331 0.5135 0.7829
Cd: 0.7500 0.5045 0.4955
Cd: 0.4331 0.7829 0.5136
Cd: 0.2500 0.4955 0.5045
Nd: 0.9252 0.8449 0.3754
Nd: 0.2500 0.0254 0.9746
Nd: 0.7500 0.9746 0.0254
Nd: 0.4252 0.3754 0.8449
Nd: 0.0748 0.1551 0.6246
Nd: 0.5748 0.6246 0.1551
In: 0.8855 0.2983 0.9804
In: 0.1145 0.7017 0.0196
In: 0.6145 0.0196 0.7017
In: 0.3855 0.9804 0.2983

Properties
The calculation puts the energy of formation from the pure elements at -2.89 eV/f.u. Its final energy is -2.72 eV per atom. For the magnetic moment, the calculation gives 0.00 μB/f.u. The calculation puts the density of states at the Fermi level at 13.1 states/eV/cell.


No. 2
This record from the Alexandria database describes an optimized crystal structure of NdCdIn6. The functional is PBE-GGA.

Cell: 4.4138 6.9090 6.9090 Å, 89.82 90.00 90.00°
Sites, in units of the cell vectors:
In: 0.0000 0.7383 0.2617
In: 0.5000 0.5000 0.0000
In: 0.0000 0.2617 0.7383
In: 0.0000 0.7389 0.7389
In: 0.5000 0.0000 0.5000
In: 0.0000 0.2611 0.2611
Cd: 0.5000 0.5000 0.5000
Nd: 0.5000 0.0000 0.0000

Properties
The calculation puts the energy of formation from the pure elements at -1.28 eV/f.u. Its final energy is -2.92 eV per atom. For the magnetic moment, the calculation gives 0.00 μB/f.u. The calculation puts the density of states at the Fermi level at 5.1 states/eV/cell.


No. 3
This record from the Alexandria database describes an optimized crystal structure of Nd2Cd15In2. The functional is PBE-GGA.

Cell: 7.6972 7.6972 7.6972 Å, 83.60 83.60 83.60°
Sites, in units of the cell vectors:
Cd: 0.0000 0.5000 0.0000
Cd: 0.6878 0.3122 0.0000
Cd: 0.6453 0.1695 0.6453
Cd: 0.6453 0.6453 0.1695
Cd: 0.8305 0.3547 0.3547
Cd: 0.5000 0.0000 0.0000
Cd: 0.3547 0.3547 0.8305
Cd: 0.0000 0.3122 0.6878
Cd: 0.1695 0.6453 0.6453
Cd: 0.3122 0.0000 0.6878
Cd: 0.3122 0.6878 0.0000
Cd: 0.6878 0.0000 0.3122
Cd: 0.3547 0.8305 0.3547
Cd: 0.0000 0.0000 0.5000
Cd: 0.0000 0.6878 0.3122
In: 0.1005 0.1005 0.1005
In: 0.8995 0.8995 0.8995
Nd: 0.6693 0.6693 0.6693
Nd: 0.3307 0.3307 0.3307

Properties
The calculation puts the energy of formation from the pure elements at -2.76 eV/f.u. Its final energy is -1.66 eV per atom. For the magnetic moment, the calculation gives 0.00 μB/f.u. The calculation puts the density of states at the Fermi level at 7.6 states/eV/cell.


No. 4
This record from the Alexandria database describes an optimized crystal structure of Nd6CdIn5. The functional is PBE-GGA.

Cell: 5.4848 9.4917 9.4917 Å, 120.05 106.78 106.78°
Sites, in units of the cell vectors:
In: 0.5000 0.5000 0.5000
In: 0.0000 0.6661 0.3339
In: 0.0000 0.3339 0.6661
In: 0.5000 0.1642 0.8358
In: 0.5000 0.8358 0.1642
Nd: 0.7505 0.5838 0.9172
Nd: 0.7492 0.2491 0.2491
Nd: 0.2508 0.7509 0.7509
Nd: 0.7505 0.9172 0.5838
Nd: 0.2495 0.0828 0.4162
Nd: 0.2495 0.4162 0.0828
Cd: 0.0000 0.0000 0.0000

Properties
The calculation puts the energy of formation from the pure elements at -5.66 eV/f.u. Its final energy is -4.07 eV per atom. For the magnetic moment, the calculation gives 0.00 μB/f.u. The calculation puts the density of states at the Fermi level at 8.8 states/eV/cell.


No. 5
This record from the Alexandria database describes an optimized crystal structure of Nd8Cd2In. The functional is PBE-GGA.

Cell: 5.5087 8.8226 8.8534 Å, 119.19 108.13 90.00°
Sites, in units of the cell vectors:
In: 0.5000 0.0000 0.0000
Cd: 0.7728 0.3834 0.5457
Cd: 0.2272 0.6166 0.4543
Nd: 0.3187 0.0496 0.6374
Nd: 0.1377 0.1889 0.2755
Nd: 0.0694 0.7214 0.1388
Nd: 0.9306 0.2786 0.8612
Nd: 0.5921 0.4486 0.1842
Nd: 0.4079 0.5514 0.8158
Nd: 0.8623 0.8111 0.7245
Nd: 0.6813 0.9504 0.3626

Properties
The calculation puts the energy of formation from the pure elements at -2.14 eV/f.u. Its final energy is -4.08 eV per atom. For the magnetic moment, the calculation gives 0.00 μB/f.u. The calculation puts the density of states at the Fermi level at 10.8 states/eV/cell.


No. 6
This record from the Alexandria database describes an optimized crystal structure of NdCdIn2. The functional is PBE-GGA.

Cell: 5.3015 5.3015 5.3015 Å, 60.00 60.00 60.00°
Sites, in units of the cell vectors:
Cd: 0.5000 0.5000 0.5000
In: 0.2500 0.2500 0.2500
In: 0.7500 0.7500 0.7500
Nd: 0.0000 0.0000 0.0000

Properties
The calculation puts the energy of formation from the pure elements at -0.91 eV/f.u. Its final energy is -3.02 eV per atom. For the magnetic moment, the calculation gives 0.00 μB/f.u. The calculation puts the density of states at the Fermi level at 3.0 states/eV/cell.


No. 7
This record from the Alexandria database describes an optimized crystal structure of Nd12Cd6In. The functional is PBE-GGA.

Cell: 9.2248 9.2248 9.2248 Å, 111.12 111.12 111.12°
Sites, in units of the cell vectors:
Nd: 0.1719 0.7387 0.1057
Nd: 0.1057 0.1719 0.7387
Nd: 0.5311 0.8004 0.6777
Nd: 0.7387 0.1057 0.1719
Nd: 0.8004 0.6777 0.5311
Nd: 0.1996 0.3223 0.4689
Nd: 0.4689 0.1996 0.3223
Nd: 0.3223 0.4689 0.1996
Nd: 0.6777 0.5311 0.8004
Nd: 0.2613 0.8943 0.8281
Nd: 0.8281 0.2613 0.8943
Nd: 0.8943 0.8281 0.2613
Cd: 0.0521 0.5751 0.3562
Cd: 0.3562 0.0521 0.5751
Cd: 0.5751 0.3562 0.0521
Cd: 0.4249 0.6438 0.9479
Cd: 0.6438 0.9479 0.4249
Cd: 0.9479 0.4249 0.6438
In: 0.0000 0.0000 0.0000

Properties
The calculation puts the energy of formation from the pure elements at -3.14 eV/f.u. Its final energy is -3.61 eV per atom. For the magnetic moment, the calculation gives 0.00 μB/f.u. The calculation puts the density of states at the Fermi level at 25.2 states/eV/cell.


No. 8
This record from the Alexandria database describes an optimized crystal structure of Nd2CdIn8. The functional is PBE-GGA.

Cell: 4.8704 4.8704 12.4671 Å, 90.00 90.00 90.00°
Sites, in units of the cell vectors:
Nd: 0.0000 0.0000 0.6849
Nd: 0.0000 0.0000 0.3151
In: 0.5000 0.5000 0.3156
In: 0.5000 0.5000 0.6844
In: 0.0000 0.5000 0.5000
In: 0.5000 0.0000 0.8643
In: 0.0000 0.5000 0.1357
In: 0.0000 0.5000 0.8643
In: 0.5000 0.0000 0.1357
In: 0.5000 0.0000 0.5000
Cd: 0.0000 0.0000 0.0000

Properties
The calculation puts the energy of formation from the pure elements at -3.19 eV/f.u. Its final energy is -3.23 eV per atom. For the magnetic moment, the calculation gives 0.00 μB/f.u. The calculation puts the density of states at the Fermi level at 4.0 states/eV/cell.


What did the second record say?
This record from the Alexandria database describes an optimized crystal structure of NdCdIn6. The functional is PBE-GGA.

Cell: 4.4138 6.9090 6.9090 Å, 89.82 90.00 90.00°
Sites, in units of the cell vectors:
In: 0.0000 0.7383 0.2617
In: 0.5000 0.5000 0.0000
In: 0.0000 0.2617 0.7383
In: 0.0000 0.7389 0.7389
In: 0.5000 0.0000 0.5000
In: 0.0000 0.2611 0.2611
Cd: 0.5000 0.5000 0.5000
Nd: 0.5000 0.0000 0.0000

Properties
The calculation puts the energy of formation from the pure elements at -1.28 eV/f.u. Its final energy is -2.92 eV per atom. For the magnetic moment, the calculation gives 0.00 μB/f.u. The calculation puts the density of states at the Fermi level at 5.1 states/eV/cell.


The lowest energy of formation from the pure elements belongs to which entry?
Nd6CdIn5